Entry 1:
Below is AcNi5 after structural relaxation, with properties calculated at the PBE-GGA level.

Geometry as POSCAR:
```
AcNi5
1.0
4.072 0.000 0.000
0.000 10.859 0.000
0.000 0.000 4.004
Ac Ni
2 10
direct
0.000 0.000 0.000 Ac
0.500 0.500 0.000 Ac
0.000 0.192 0.500 Ni
0.000 0.317 0.000 Ni
0.000 0.500 0.500 Ni
0.000 0.683 0.000 Ni
0.000 0.808 0.500 Ni
0.500 0.000 0.500 Ni
0.500 0.183 0.000 Ni
0.500 0.308 0.500 Ni
0.500 0.692 0.500 Ni
0.500 0.817 0.000 Ni
```

Computed properties:
* symmetry: Cmmm (65)

Entry 2:
Below is AcNi4 after structural relaxation, with properties calculated at the PBE-GGA level.

Geometry as POSCAR:
```
AcNi4
1.0
-4.321 4.321 4.321
4.321 -4.321 4.321
4.321 4.321 -4.321
Ac Ni
4 16
direct
0.000 0.000 0.548 Ac
0.000 0.548 0.000 Ac
0.452 0.452 0.452 Ac
0.548 0.000 0.000 Ac
0.000 0.000 0.192 Ni
0.000 0.192 0.000 Ni
0.000 0.357 0.357 Ni
0.000 0.643 0.643 Ni
0.192 0.000 0.000 Ni
0.250 0.500 0.750 Ni
0.250 0.750 0.500 Ni
0.357 0.000 0.357 Ni
0.357 0.357 0.000 Ni
0.500 0.250 0.750 Ni
0.500 0.750 0.250 Ni
0.643 0.000 0.643 Ni
0.643 0.643 0.000 Ni
0.750 0.250 0.500 Ni
0.750 0.500 0.250 Ni
0.808 0.808 0.808 Ni
```

Computed properties:
* symmetry: I-43m (217)

Entry 3:
Below is Ac3Ni2 after structural relaxation, with properties calculated at the PBE-GGA level.

Geometry as POSCAR:
```
Ac3Ni2
1.0
4.672 0.000 0.000
0.000 15.355 0.000
0.000 0.000 4.090
Ac Ni
6 4
direct
0.000 0.000 0.000 Ac
0.000 0.346 0.500 Ac
0.000 0.654 0.500 Ac
0.500 0.154 0.500 Ac
0.500 0.500 0.000 Ac
0.500 0.846 0.500 Ac
0.000 0.201 0.000 Ni
0.000 0.799 0.000 Ni
0.500 0.299 0.000 Ni
0.500 0.701 0.000 Ni
```

Computed properties:
* symmetry: Cmmm (65)

Entry 4:
Below is AcNi4 after structural relaxation, with properties calculated at the PBE-GGA level.

Geometry as POSCAR:
```
AcNi4
1.0
4.847 0.000 0.000
0.000 4.847 0.000
0.000 0.000 4.847
Ac Ni
1 4
direct
0.000 0.000 0.000 Ac
0.000 0.000 0.500 Ni
0.000 0.500 0.000 Ni
0.500 0.000 0.000 Ni
0.500 0.500 0.500 Ni
```

Computed properties:
* symmetry: Pm-3m (221)

Entry 5:
Below is Ac3Ni after structural relaxation, with properties calculated at the PBE-GGA level.

Geometry as POSCAR:
```
Ac3Ni
1.0
3.939 0.000 0.000
0.000 11.088 0.000
0.000 0.000 6.666
Ac Ni
6 2
direct
0.000 0.000 0.000 Ac
0.000 0.183 0.505 Ac
0.000 0.817 0.505 Ac
0.500 0.317 0.005 Ac
0.500 0.500 0.500 Ac
0.500 0.683 0.005 Ac
0.000 0.500 0.178 Ni
0.500 0.000 0.678 Ni
```

Computed properties:
* symmetry: Imm2 (44)

Entry 6:
Below is AcNi2 after structural relaxation, with properties calculated at the PBE-GGA level.

Geometry as POSCAR:
```
AcNi2
1.0
4.934 0.000 0.000
0.000 4.944 0.000
-2.287 0.000 4.808
Ac Ni
2 4
direct
0.000 0.000 0.000 Ac
0.500 0.500 0.000 Ac
0.210 0.500 0.423 Ni
0.290 0.000 0.577 Ni
0.710 0.000 0.423 Ni
0.790 0.500 0.577 Ni
```

Computed properties:
* symmetry: C2/m (12)

| no. | D(E_F) (states/eV per cell) | calculated formation energy (eV/atom) |
| --- | --- | --- |
| 1 | 20.10 | 0.1300 |
| 2 | 32.72 | -0.0654 |
| 3 | 8.41 | -0.1771 |
| 4 | 8.12 | 1.7974 |
| 5 | 12.00 | -0.0573 |
| 6 | 8.07 | 0.0997 |